[1]
Computed, not measured: a relaxed DyCd crystal at the PBE level of DFT.

The crystal system is cubic. Its formation energy is -0.32 eV/atom. For the mass density, the calculation gives 8.697 g cm⁻³.

a = 3.7441 Å, b = 3.7441 Å, c = 3.7441 Å
α = 90.00°, β = 90.00°, γ = 90.00°
Positions (direct):
Dy (0.0000, 0.0000, 0.0000)
Cd (0.5000, 0.5000, 0.5000)



[2]
Computed, not measured: a relaxed Dy5Cd crystal at the PBE level of DFT.

The calculation puts the excess energy over the best structure of this formula in the dataset at 0.000 eV per atom. The crystal system is monoclinic. Its formation energy is -0.07 eV/atom. For the mass density, the calculation gives 8.548 g cm⁻³.

a = 6.3924 Å, b = 6.3924 Å, c = 8.4990 Å
α = 111.19°, β = 111.19°, γ = 33.97°
Positions (direct):
Dy (0.0000, 0.0000, 0.0000)
Dy (0.3299, 0.3299, 0.1906)
Dy (0.3532, 0.3532, 0.6461)
Dy (0.6468, 0.6468, 0.3539)
Dy (0.6701, 0.6701, 0.8094)
Cd (0.0000, 0.0000, 0.5000)



[3]
Computed, not measured: a relaxed Dy3Cd11 crystal at the PBE level of DFT.

The crystal system is orthorhombic. Its formation energy is -0.21 eV/atom. For the mass density, the calculation gives 8.587 g cm⁻³.

a = 8.7504 Å, b = 8.7504 Å, c = 8.7504 Å
α = 148.43°, β = 102.62°, γ = 85.96°
Positions (direct):
Dy (0.0000, 0.0000, 0.0000)
Dy (0.2849, 0.2849, 0.0000)
Dy (0.7151, 0.7151, 0.0000)
Cd (0.0081, 0.6356, 0.3725)
Cd (0.1273, 0.8504, 0.2769)
Cd (0.2631, 0.6356, 0.6275)
Cd (0.3398, 0.5000, 0.8398)
Cd (0.4265, 0.1496, 0.2769)
Cd (0.5000, 0.0000, 0.5000)
Cd (0.5735, 0.8504, 0.7231)
Cd (0.6602, 0.5000, 0.1602)
Cd (0.7369, 0.3644, 0.3725)
Cd (0.8727, 0.1496, 0.7231)
Cd (0.9919, 0.3644, 0.6275)